*w*
The following is a GGA-PBE calculation of an optimized crystal structure of BaI2F, from Alexandria.

Cell lengths 5.768, 5.768, 5.768 Å; angles 60.00, 60.00, 60.00 degrees
Positions (direct):
I 0.250 0.250 0.250
I 0.750 0.750 0.750
Ba 0.500 0.500 0.500
F 0.000 0.000 0.000

Output
SG = Fm-3m, No. 225

*x*
The following is a GGA-PBE calculation of an optimized crystal structure of BaI2F, from Alexandria.

Cell lengths 4.742, 4.742, 12.922 Å; angles 79.43, 79.43, 90.00 degrees
Positions (direct):
I 0.623 0.125 0.250
I 0.127 0.625 0.250
I 0.375 0.377 0.750
I 0.875 0.873 0.750
Ba 0.000 0.000 0.000
Ba 0.750 0.250 0.500
F 0.500 0.500 0.000
F 0.250 0.750 0.500

Output
SG = I-42d, No. 122

*x* ends up most stable, edging out the next structure by 138 meV per atom.

*w*
The following is a GGA-PBE calculation of an optimized crystal structure of BaI2NF, from Alexandria.

Cell lengths 5.547, 5.547, 4.921 Å; angles 90.00, 90.00, 90.00 degrees
Positions (direct):
I 0.000 0.500 0.000
I 0.500 0.000 0.000
N 0.000 0.000 0.500
Ba 0.500 0.500 0.500
F 0.000 0.000 0.000

Output
SG = P4/mmm, No. 123

*x*
The following is a GGA-PBE calculation of an optimized crystal structure of BaI2NF, from Alexandria.

Cell lengths 6.791, 6.791, 5.543 Å; angles 90.00, 90.00, 90.00 degrees
Positions (direct):
I 0.000 0.500 0.000
I 0.500 0.000 0.000
N 0.000 0.000 0.500
Ba 0.000 0.000 0.000
F 0.500 0.500 0.500

Output
SG = P4/mmm, No. 123

*w* ends up most stable, edging out the next structure by 225 meV per atom.

*w*
The following is a GGA-PBE calculation of an optimized crystal structure of BaINF2, from Alexandria.

Cell lengths 5.111, 5.111, 4.154 Å; angles 90.00, 90.00, 90.00 degrees
Positions (direct):
I 0.000 0.000 0.000
N 0.000 0.000 0.500
Ba 0.500 0.500 0.500
F 0.000 0.500 0.000
F 0.500 0.000 0.000

Output
SG = P4/mmm, No. 123

*x*
The following is a GGA-PBE calculation of an optimized crystal structure of BaINF2, from Alexandria.

Cell lengths 5.033, 5.033, 6.101 Å; angles 90.00, 90.00, 90.00 degrees
Positions (direct):
I 0.500 0.500 0.500
N 0.000 0.000 0.500
Ba 0.000 0.000 0.000
F 0.000 0.500 0.000
F 0.500 0.000 0.000

Output
SG = P4/mmm, No. 123

*w* ends up most stable, edging out the next structure by 113 meV per atom.

*w*
The following is a GGA-PBE calculation of an optimized crystal structure of RbBaIF2, from Alexandria.

Cell lengths 5.114, 5.114, 7.172 Å; angles 90.00, 90.00, 90.00 degrees
Positions (direct):
I 0.000 0.000 0.500
Ba 0.000 0.000 0.000
Rb 0.500 0.500 0.500
F 0.000 0.500 0.000
F 0.500 0.000 0.000

Output
SG = P4/mmm, No. 123

*x*
The following is a GGA-PBE calculation of an optimized crystal structure of RbBaIF2, from Alexandria.

Cell lengths 5.182, 6.382, 5.182 Å; angles 90.00, 90.00, 90.00 degrees
Positions (direct):
I 0.000 0.500 0.000
Ba 0.500 0.500 0.500
Rb 0.000 0.000 0.000
F 0.000 0.000 0.500
F 0.500 0.000 0.000

Output
SG = P4/mmm, No. 123

*w* ends up most stable, edging out the next structure by 610 meV per atom.

*w*
The following is a GGA-PBE calculation of an optimized crystal structure of BaTe2IF, from Alexandria.

Cell lengths 4.897, 4.897, 6.624 Å; angles 90.00, 90.00, 90.00 degrees
Positions (direct):
I 0.000 0.000 0.500
Te 0.000 0.500 0.000
Te 0.500 0.000 0.000
Ba 0.500 0.500 0.500
F 0.000 0.000 0.000

Output
SG = P4/mmm, No. 123

*x*
The following is a GGA-PBE calculation of an optimized crystal structure of BaTe2IF, from Alexandria.

Cell lengths 7.053, 7.053, 6.589 Å; angles 90.00, 90.00, 90.00 degrees
Positions (direct):
I 0.000 0.000 0.500
Te 0.000 0.500 0.000
Te 0.500 0.000 0.000
Ba 0.000 0.000 0.000
F 0.500 0.500 0.500

Output
SG = P4/mmm, No. 123

*w* ends up most stable, edging out the next structure by 879 meV per atom.

*w*
The following is a GGA-PBE calculation of an optimized crystal structure of BaTeI2F, from Alexandria.

Cell lengths 6.681, 6.681, 7.299 Å; angles 90.00, 90.00, 90.00 degrees
Positions (direct):
I 0.000 0.500 0.000
I 0.500 0.000 0.000
Te 0.000 0.000 0.500
Ba 0.000 0.000 0.000
F 0.500 0.500 0.500

Output
SG = P4/mmm, No. 123

*x*
The following is a GGA-PBE calculation of an optimized crystal structure of BaTeI2F, from Alexandria.

Cell lengths 6.112, 6.112, 4.435 Å; angles 90.00, 90.00, 90.00 degrees
Positions (direct):
I 0.000 0.500 0.000
I 0.500 0.000 0.000
Te 0.000 0.000 0.500
Ba 0.500 0.500 0.500
F 0.000 0.000 0.000

Output
SG = P4/mmm, No. 123

*x* ends up most stable, edging out the next structure by 669 meV per atom.

*w*
The following is a GGA-PBE calculation of an optimized crystal structure of BaInF2, from Alexandria.

Cell lengths 7.689, 7.689, 7.689 Å; angles 32.10, 32.10, 32.10 degrees
Positions (direct):
F 0.876 0.876 0.876
F 0.124 0.124 0.124
Ba 0.500 0.500 0.500
In 0.000 0.000 0.000

Output
SG = R-3m, No. 166

*x*
The following is a GGA-PBE calculation of an optimized crystal structure of BaInF2, from Alexandria.

Cell lengths 4.975, 4.975, 4.975 Å; angles 60.00, 60.00, 60.00 degrees
Positions (direct):
F 0.250 0.250 0.250
F 0.750 0.750 0.750
Ba 0.500 0.500 0.500
In 0.000 0.000 0.000

Output
SG = Fm-3m, No. 225

*w* ends up most stable, edging out the next structure by 499 meV per atom.

*w*
The following is a GGA-PBE calculation of an optimized crystal structure of BaInF2, from Alexandria.

Cell lengths 8.535, 8.535, 8.535 Å; angles 27.93, 27.93, 27.93 degrees
Positions (direct):
F 0.710 0.710 0.710
F 0.290 0.290 0.290
Ba 0.000 0.000 0.000
In 0.500 0.500 0.500

Output
SG = R-3m, No. 166

*x*
The following is a GGA-PBE calculation of an optimized crystal structure of BaInF2, from Alexandria.

Cell lengths 6.425, 6.425, 7.809 Å; angles 65.71, 65.71, 90.00 degrees
Positions (direct):
F 0.710 0.125 0.250
F 0.040 0.625 0.250
F 0.375 0.290 0.750
F 0.875 0.960 0.750
Ba 0.000 0.000 0.000
Ba 0.750 0.250 0.500
In 0.500 0.500 0.000
In 0.250 0.750 0.500

Output
SG = I-42d, No. 122

*w* ends up most stable, edging out the next structure by 190 meV per atom.

*w*
The following is a GGA-PBE calculation of an optimized crystal structure of Ba2InF8, from Alexandria.

Cell lengths 4.334, 5.225, 8.649 Å; angles 107.78, 104.51, 90.00 degrees
Positions (direct):
F 0.596 0.826 0.193
F 0.391 0.666 0.782
F 0.230 0.223 0.460
F 0.003 0.221 0.006
F 0.770 0.777 0.540
F 0.609 0.334 0.218
F 0.404 0.174 0.807
F 0.997 0.779 0.994
Ba 0.164 0.660 0.329
Ba 0.836 0.340 0.671
In 0.500 0.000 0.000

Output
SG = C2/m, No. 12

*x*
The following is a GGA-PBE calculation of an optimized crystal structure of Ba2InF8, from Alexandria.

Cell lengths 4.608, 5.496, 8.059 Å; angles 113.61, 107.80, 84.20 degrees
Positions (direct):
Ba 0.824 0.332 0.678
Ba 0.176 0.668 0.322
In 0.500 0.000 0.000
F 0.349 0.609 0.816
F 0.569 0.953 0.261
F 0.774 0.740 0.548
F 0.086 0.213 0.985
F 0.226 0.260 0.452
F 0.431 0.047 0.739
F 0.651 0.391 0.184
F 0.914 0.787 0.015

Output
SG = P-1, No. 2

*x* ends up most stable, edging out the next structure by 12 meV per atom.

*w*
The following is a GGA-PBE calculation of an optimized crystal structure of Ba2InF, from Alexandria.

Cell lengths 8.079, 8.079, 7.316 Å; angles 56.49, 56.49, 90.00 degrees
Positions (direct):
F 0.500 0.500 0.000
F 0.250 0.750 0.500
Ba 0.539 0.125 0.250
Ba 0.211 0.625 0.250
Ba 0.375 0.461 0.750
Ba 0.875 0.789 0.750
In 0.000 0.000 0.000
In 0.750 0.250 0.500

Output
SG = I-42d, No. 122

*x*
The following is a GGA-PBE calculation of an optimized crystal structure of Ba2InF, from Alexandria.

Cell lengths 5.862, 5.862, 5.862 Å; angles 60.00, 60.00, 60.00 degrees
Positions (direct):
F 0.000 0.000 0.000
Ba 0.250 0.250 0.250
Ba 0.750 0.750 0.750
In 0.500 0.500 0.500

Output
SG = Fm-3m, No. 225

*y*
The following is a GGA-PBE calculation of an optimized crystal structure of Ba2InF, from Alexandria.

Cell lengths 4.429, 4.429, 8.488 Å; angles 74.88, 74.88, 60.00 degrees
Positions (direct):
F 0.000 0.000 0.000
Ba 0.266 0.266 0.202
Ba 0.734 0.734 0.798
In 0.500 0.500 0.500

Output
SG = R-3m, No. 166

*z*
The following is a GGA-PBE calculation of an optimized crystal structure of Ba2InF, from Alexandria.

Cell lengths 3.742, 3.742, 8.730 Å; angles 90.00, 90.00, 90.00 degrees
Positions (direct):
F 0.500 0.500 0.000
Ba 0.000 0.000 0.779
Ba 0.000 0.000 0.221
In 0.500 0.500 0.500

Output
SG = P4/mmm, No. 123

*w* ends up most stable, edging out the next structure by 76 meV per atom.

*w*
The following is a GGA-PBE calculation of an optimized crystal structure of BaInF3, from Alexandria.

Cell lengths 5.102, 5.102, 5.102 Å; angles 90.00, 90.00, 90.00 degrees
Positions (direct):
F 0.000 0.500 0.000
F 0.000 0.000 0.500
F 0.500 0.000 0.000
Ba 0.000 0.000 0.000
In 0.500 0.500 0.500

Output
SG = Pm-3m, No. 221

*x*
The following is a GGA-PBE calculation of an optimized crystal structure of BaInF3, from Alexandria.

Cell lengths 4.785, 4.785, 4.785 Å; angles 90.00, 90.00, 90.00 degrees
Positions (direct):
F 0.000 0.500 0.000
F 0.000 0.000 0.500
F 0.500 0.000 0.000
Ba 0.500 0.500 0.500
In 0.000 0.000 0.000

Output
SG = Pm-3m, No. 221

*w* ends up most stable, edging out the next structure by 245 meV per atom.

*w*
The following is a GGA-PBE calculation of an optimized crystal structure of BaInN2F, from Alexandria.

Cell lengths 5.380, 5.380, 4.978 Å; angles 90.00, 90.00, 90.00 degrees
Positions (direct):
N 0.000 0.500 0.000
N 0.500 0.000 0.000
F 0.000 0.000 0.500
Ba 0.000 0.000 0.000
In 0.500 0.500 0.500

Output
SG = P4/mmm, No. 123

*x*
The following is a GGA-PBE calculation of an optimized crystal structure of BaInN2F, from Alexandria.

Cell lengths 4.265, 4.265, 4.660 Å; angles 90.00, 90.00, 90.00 degrees
Positions (direct):
N 0.000 0.500 0.000
N 0.500 0.000 0.000
F 0.000 0.000 0.500
Ba 0.500 0.500 0.500
In 0.000 0.000 0.000

Output
SG = P4/mmm, No. 123

*x* ends up most stable, edging out the next structure by 931 meV per atom.